{
  "formula": "Pu2FeAs4Rh3",
  "functional": "GGA-PBE",
  "state": "optimized geometry",
  "cell": [[-4.046, -1.220, 0.531], [0.842, -3.664, -2.001], [2.397, -4.180, 8.662]],
  "species": ["Pu", "As", "Rh", "As", "Rh", "Pu", "Rh", "As", "As", "Fe"],
  "fractional_positions": [[0.000, 0.500, 0.753], [0.000, 0.500, 0.372], [0.000, 0.500, 0.125], [0.000, 0.000, 0.000], [0.500, 0.000, 0.875], [0.500, 0.000, 0.247], [0.000, 0.000, 0.500], [0.500, 0.000, 0.628], [0.500, 0.500, 0.000], [0.500, 0.500, 0.500]],
  "magnetic_moment_mub_per_fu": 12.28,
  "dft_energy_ev_per_atom": -8.38,
  "e_form_mev_per_atom": -606,
  "dos_ef_per_ev_cell": 29.95
}